# 1
Mg2FePb: relaxed, PBE.

The space group is P4/mmm (No. 123) and the conventional cell measures 3.0975, 3.0975 and 8.7779 Å, with angles of 90.00, 90.00 and 90.00 degrees. Symmetry generates all atoms from Mg at (0.0000, 0.0000, 0.1948), Fe at (0.5000, 0.5000, 0.0000) and Pb at (0.5000, 0.5000, 0.5000).

For the energy relative to the elements, the calculation gives 0.193 eV per atom. The density of states at the Fermi level is 0.475 states/eV/atom. The calculation puts the size of the total moment at 2.38 μB/f.u.

---

# 2
HfCdNF2: relaxed, PBE.

The space group is P4/mmm (No. 123) and the conventional cell measures 4.0865, 4.0865 and 4.7109 Å, with angles of 90.00, 90.00 and 90.00 degrees. Symmetry generates all atoms from Hf at (0.0000, 0.0000, 0.0000), Cd at (0.5000, 0.5000, 0.5000), N at (0.5000, 0.5000, 0.0000) and F at (0.0000, 0.5000, 0.5000).

As for the energy above the most stable polymorph in this dataset: 135.98 kJ per mole of atoms. The density of states at the Fermi level is 0.433 states/eV/atom. The calculation puts the size of the total moment at 0.74 μB/f.u.

---

# 3
NiIr2Br: relaxed, PBE.

The space group is Cmmm (No. 65) and the conventional cell measures 2.7360, 4.6182 and 12.2639 Å, with angles of 90.00, 90.00 and 90.00 degrees. Symmetry generates all atoms from Ni at (0.0000, 0.0000, 0.0000), Ir at (0.0000, 0.5000, 0.1702) and Br at (0.0000, 0.0000, 0.5000).

As for the energy above the most stable polymorph in this dataset: 21.86 kJ per mole of atoms. The density of states at the Fermi level is 1.409 states/eV/atom. The calculation puts the size of the total moment at 0.60 μB/f.u.

---

# 4
HgP2: relaxed, PBE.

The space group is P6_3/mmc (No. 194) and the conventional cell measures 4.9734, 4.9734 and 5.2692 Å, with angles of 90.00, 90.00 and 120.00 degrees. Symmetry generates all atoms from Hg at (0.3333, 0.6667, 0.2500), P at (0.0000, 0.0000, 0.0000) and P at (0.3333, 0.6667, 0.7500).

For the energy relative to the elements, the calculation gives 0.881 eV per atom. The density of states at the Fermi level is 0.412 states/eV/atom. The calculation puts the size of the total moment at 0.00 μB/f.u.

---

# 5
Tc2SnSb2: relaxed, PBE.

The space group is C2/c (No. 15) and the conventional cell measures 9.8069, 5.2984 and 8.6429 Å, with angles of 90.00, 111.61 and 90.00 degrees. Symmetry generates all atoms from Tc at (0.1479, 0.1673, 0.0321), Sn at (0.0000, 0.1250, 0.2500) and Sb at (0.1449, 0.3434, 0.6406).

As for the energy above the most stable polymorph in this dataset: 4.83 kJ per mole of atoms. The density of states at the Fermi level is 0.642 states/eV/atom. The calculation puts the size of the total moment at 0.00 μB/f.u.

---

# 6
LaPm6Ho12: relaxed, PBE.

The space group is R-3m (No. 166, hexagonal axes) and the conventional cell measures 11.0865, 11.0865 and 17.4514 Å, with angles of 90.00, 90.00 and 120.00 degrees. Symmetry generates all atoms from La at (0.0000, 0.0000, 0.0000), Pm at (0.0719, 0.5359, 0.7644), Ho at (0.1051, 0.5525, 0.4153) and Ho at (0.1067, 0.2133, 0.4102).

As for the energy above the most stable polymorph in this dataset: 0.00 kJ per mole of atoms. For the energy relative to the elements, the calculation gives 0.108 eV per atom. The density of states at the Fermi level is 1.664 states/eV/atom. The calculation puts the size of the total moment at 0.00 μB/f.u.